Record 1
# Pm12Mg2Tl5, optimized geometry, DFT PBE
# Energy relative to the elements in eV/atom: -0.1230
data_Pm12Mg2Tl5
_chemical_formula_sum 'Pm24 Mg4 Tl10'
_cell_length_a 13.9336
_cell_length_b 9.7033
_cell_length_c 8.6960
_cell_angle_alpha 90.00
_cell_angle_beta 94.64
_cell_angle_gamma 90.00
_space_group_name_H-M_alt 'C 1 2/m 1'
_space_group_IT_number 12
loop_
_space_group_symop_operation_xyz
'x,y,z'
'-x,-y,-z'
'-x,y,-z'
'x,-y,z'
'x+1/2,y+1/2,z'
'-x+1/2,-y+1/2,-z'
'-x+1/2,y+1/2,-z'
'x+1/2,-y+1/2,z'
loop_
_atom_site_label
_atom_site_type_symbol
_atom_site_fract_x
_atom_site_fract_y
_atom_site_fract_z
Pm1 Pm 0.0808 0.0000 0.1812
Pm2 Pm 0.0944 0.5000 0.6432
Pm3 Pm 0.1176 0.2024 0.8597
Pm4 Pm 0.1502 0.3148 0.2948
Mg1 Mg 0.0000 0.1683 0.5000
Tl1 Tl 0.0000 0.5000 0.0000
Tl2 Tl 0.1828 0.0000 0.5299
Tl3 Tl 0.2223 0.5000 0.9789

Record 2
# Pm6Mg5Tl, optimized geometry, DFT PBE
# Energy relative to the elements in eV/atom: -0.1583
data_Pm6Mg5Tl
_chemical_formula_sum 'Pm12 Mg10 Tl2'
_cell_length_a 5.4671
_cell_length_b 16.4410
_cell_length_c 7.7091
_cell_angle_alpha 90.00
_cell_angle_beta 90.00
_cell_angle_gamma 90.00
_space_group_name_H-M_alt 'C m m m'
_space_group_IT_number 65
_space_group_name_Hall '-C 2 2'
loop_
_atom_site_label
_atom_site_type_symbol
_atom_site_fract_x
_atom_site_fract_y
_atom_site_fract_z
Pm1 Pm 0.0000 0.0000 0.2495
Pm2 Pm 0.0000 0.3331 0.2478
Mg1 Mg 0.0000 0.1667 0.0000
Mg2 Mg 0.0000 0.1702 0.5000
Mg3 Mg 0.0000 0.5000 0.0000
Tl1 Tl 0.0000 0.5000 0.5000

Number 1: raw total energy -3.914 eV per atom. Number 2: raw total energy -3.395 eV per atom.